Density functional theory data (PBE) for crystalline Li2AsPt2 at its relaxed geometry.

Cell: 5.401 5.401 7.309 Å, 78.79 78.79 55.92°
Sites, in units of the cell vectors:
Li 0.478 0.206 0.161
Li 0.794 0.522 0.339
Li 0.522 0.794 0.839
Li 0.206 0.478 0.661
As 0.160 0.840 0.250
As 0.840 0.160 0.750
Pt 0.738 0.001 0.496
Pt 0.999 0.262 0.004
Pt 0.262 0.999 0.504
Pt 0.001 0.738 0.996

## Properties
The energy of formation from the pure elements is -0.5968 eV/atom. For the energy above the most stable polymorph in this dataset, the calculation gives 0.0 meV per atom. For the size of the total moment, the calculation gives 0.000 μB per cell. The symmetry is C2/c, No. 15.

Density functional theory data (PBE) for crystalline Li2AsPt at its relaxed geometry.

Cell: 4.713 4.713 2.865 Å, 89.98 89.98 113.72°
Sites, in units of the cell vectors:
As 0.000 0.500 0.500
Pt 0.500 0.000 0.500
Li 0.000 0.000 0.000
Li 0.500 0.500 0.000

## Properties
The energy of formation from the pure elements is -0.5669 eV/atom. For the size of the total moment, the calculation gives 0.000 μB per cell. The symmetry is Cmmm, No. 65.

Density functional theory data (PBE) for crystalline LiAs2Pt2 at its relaxed geometry.

Cell: 7.317 7.317 3.221 Å, 90.00 90.00 90.00°
Sites, in units of the cell vectors:
As 0.164 0.664 0.500
As 0.664 0.836 0.500
As 0.836 0.336 0.500
As 0.336 0.164 0.500
Pt 0.360 0.860 0.000
Pt 0.860 0.640 0.000
Pt 0.640 0.140 0.000
Pt 0.140 0.360 0.000
Li 0.000 0.000 0.000
Li 0.500 0.500 0.000

## Properties
The energy of formation from the pure elements is -0.2870 eV/atom. For the energy above the most stable polymorph in this dataset, the calculation gives 59.8 meV per atom. For the size of the total moment, the calculation gives 0.000 μB per cell. The symmetry is P4/mbm, No. 127.

Density functional theory data (PBE) for crystalline Li2AsPt2 at its relaxed geometry.

Cell: 7.108 7.108 2.906 Å, 90.00 90.00 90.00°
Sites, in units of the cell vectors:
As 0.000 0.000 0.000
As 0.500 0.500 0.000
Pt 0.321 0.821 0.000
Pt 0.821 0.679 0.000
Pt 0.679 0.179 0.000
Pt 0.179 0.321 0.000
Li 0.120 0.620 0.500
Li 0.620 0.880 0.500
Li 0.880 0.380 0.500
Li 0.380 0.120 0.500

## Properties
The energy of formation from the pure elements is -0.4022 eV/atom. For the energy above the most stable polymorph in this dataset, the calculation gives 194.6 meV per atom. For the size of the total moment, the calculation gives 0.000 μB per cell. The symmetry is P4/mbm, No. 127.

Density functional theory data (PBE) for crystalline Li2AsPt at its relaxed geometry.

Cell: 2.763 2.763 7.786 Å, 90.00 90.00 89.95°
Sites, in units of the cell vectors:
As 0.500 0.500 0.750
Li 0.000 0.000 0.011
Li 0.000 0.000 0.489
Pt 0.500 0.500 0.250

## Properties
The energy of formation from the pure elements is -0.5001 eV/atom. For the size of the total moment, the calculation gives 0.000 μB per cell. The symmetry is P4/mmm, No. 123.

Density functional theory data (PBE) for crystalline Li2AsPt at its relaxed geometry.

Cell: 4.371 5.291 6.579 Å, 122.09 90.00 90.00°
Sites, in units of the cell vectors:
Li 0.250 0.928 0.621
Li 0.750 0.072 0.379
Li 0.250 0.747 0.099
Li 0.750 0.253 0.901
As 0.250 0.330 0.198
As 0.750 0.670 0.802
Pt 0.250 0.415 0.611
Pt 0.750 0.585 0.389

## Properties
The energy of formation from the pure elements is -0.5756 eV/atom. For the size of the total moment, the calculation gives 0.000 μB per cell. The symmetry is P2_1/m, No. 11.

Look up the size of the total moment of the first one. 0.000 μB per cell